(1)
! ZnCr2Au, relaxed, DFT PBE; values from VASP
! * ΔH_f (0 K): 75 meV per atom
! * DFT total energy: -5.8743 eV/atom
&SYSTEM
  ibrav = 0, nat = 4, ntyp = 3
/
ATOMIC_SPECIES
Cr 52.00 Cr.upf
Zn 65.41 Zn.upf
Au 196.97 Au.upf
ATOMIC_POSITIONS crystal
Cr 0.0000 0.0000 0.0000
Cr 0.5000 0.5000 0.0000
Zn 0.5000 0.0000 0.5000
Au 0.0000 0.5000 0.5000
CELL_PARAMETERS angstrom
-0.4221 -3.5258 1.4098
2.6088 -1.3013 -2.4734
2.9825 0.7442 2.7542

(2)
! SmPt2O6, relaxed, DFT PBE; values from VASP
! * formation energy without anion corrections: -124.6 kJ/mol of atoms
! * DFT total energy: -6.4634 eV/atom
&SYSTEM
  ibrav = 0, nat = 9, ntyp = 3
/
ATOMIC_SPECIES
O 16.00 O.upf
Pt 195.08 Pt.upf
Sm 150.36 Sm.upf
ATOMIC_POSITIONS crystal
O 0.2816 0.0000 0.6415
O 0.7184 0.0000 0.3585
O 0.2816 0.3585 0.3585
O 0.7184 0.3585 0.0000
O 0.2816 0.6415 0.0000
O 0.7184 0.6415 0.6415
Pt 0.5000 0.3333 0.6667
Pt 0.5000 0.6667 0.3333
Sm 0.0000 0.0000 0.0000
CELL_PARAMETERS angstrom
-3.4921 2.9574 -1.9117
-2.6272 -4.2531 -1.7804
-1.0256 1.9178 4.8405

(3)
! Cs2K4Cd, relaxed, DFT PBE; values from VASP
! * ΔH_f (0 K): -4 meV per atom
! * DFT total energy: -1.0059 eV/atom
&SYSTEM
  ibrav = 0, nat = 14, ntyp = 3
/
ATOMIC_SPECIES
Cs 132.91 Cs.upf
K 39.10 K.upf
Cd 112.41 Cd.upf
ATOMIC_POSITIONS crystal
Cs 0.3816 0.7367 0.5000
Cs 0.8816 0.5000 0.7367
Cs 0.6184 0.2633 0.5000
Cs 0.1184 0.5000 0.2633
K 0.9137 0.9071 0.2655
K 0.1792 0.7345 0.9071
K 0.5863 0.7345 0.0929
K 0.0863 0.0929 0.7345
K 0.8208 0.2655 0.0929
K 0.6792 0.9071 0.7345
K 0.3208 0.0929 0.2655
K 0.4137 0.2655 0.9071
Cd 0.2500 0.0000 0.0000
Cd 0.7500 0.0000 0.0000
CELL_PARAMETERS angstrom
7.1325 0.0000 2.3787
3.5662 11.7303 1.1893
-0.1449 0.0000 12.3171

(4)
! Mn2AlGeB, relaxed, DFT PBE; values from VASP
! * ΔH_f (0 K): 1668 meV per atom
! * DFT total energy: -5.0072 eV/atom
&SYSTEM
  ibrav = 0, nat = 5, ntyp = 4
/
ATOMIC_SPECIES
Al 26.98 Al.upf
Mn 54.94 Mn.upf
B 10.81 B.upf
Ge 72.64 Ge.upf
ATOMIC_POSITIONS crystal
Al 0.0000 0.0000 0.0000
Mn 0.0000 0.0000 0.5000
Mn 0.5000 0.0000 0.0000
B 0.5000 0.5000 0.5000
Ge 0.0000 0.5000 0.0000
CELL_PARAMETERS angstrom
4.7574 0.0000 0.0000
0.0000 4.7410 0.0000
0.0000 0.0000 4.7574

(5)
! TlAsSe2, relaxed, DFT PBE; values from VASP
! * formation energy without anion corrections: -22.3 kJ/mol of atoms
! * DFT total energy: -3.7271 eV/atom
&SYSTEM
  ibrav = 0, nat = 16, ntyp = 3
/
ATOMIC_SPECIES
Se 78.96 Se.upf
Tl 204.38 Tl.upf
As 74.92 As.upf
ATOMIC_POSITIONS crystal
Se 0.2471 0.3636 0.1140
Se 0.7467 0.0650 0.8939
Se 0.7446 0.2157 0.6092
Se 0.7471 0.6364 0.8860
Se 0.2435 0.3643 0.3969
Se 0.7435 0.6357 0.6031
Se 0.2467 0.9350 0.1061
Se 0.2446 0.7843 0.3908
Tl 0.2394 0.9348 0.6410
Tl 0.2475 0.3322 0.8569
Tl 0.7394 0.0652 0.3590
Tl 0.7475 0.6678 0.1431
As 0.2349 0.4080 0.5950
As 0.7481 0.1677 0.0915
As 0.7349 0.5920 0.4050
As 0.2481 0.8323 0.9085
CELL_PARAMETERS angstrom
-0.8869 -1.1422 -3.6975
3.8963 -8.0571 1.5544
-12.1404 -1.4448 3.3584

(6)
! PmU2Tl3Te6, relaxed, DFT PBE; values from VASP
! * formation energy without anion corrections: -67.3 kJ/mol of atoms
! * DFT total energy: -5.1368 eV/atom
&SYSTEM
  ibrav = 0, nat = 12, ntyp = 4
/
ATOMIC_SPECIES
Tl 204.38 Tl.upf
Te 127.60 Te.upf
Pm 145.00 Pm.upf
U 238.03 U.upf
ATOMIC_POSITIONS crystal
Tl 0.1648 0.8352 0.5000
Tl 0.5000 0.5000 0.5000
Tl 0.8352 0.1648 0.5000
Te 0.9271 0.5891 0.7820
Te 0.4109 0.0729 0.2180
Te 0.0729 0.4109 0.2180
Te 0.5891 0.9271 0.7820
Te 0.2662 0.2662 0.7836
Te 0.7338 0.7338 0.2164
Pm 0.0000 0.0000 0.0000
U 0.3330 0.6670 0.0000
U 0.6670 0.3330 0.0000
CELL_PARAMETERS angstrom
7.7249 -0.0007 -0.0001
-3.8612 6.6907 -0.0001
-1.2884 -2.2309 8.2793

(7)
! CeP4Pd12, relaxed, DFT PBE; values from VASP
! * ΔH_f (0 K): -440 meV per atom
! * DFT total energy: -5.7277 eV/atom
&SYSTEM
  ibrav = 0, nat = 17, ntyp = 3
/
ATOMIC_SPECIES
Pd 106.42 Pd.upf
P 30.97 P.upf
Ce 140.12 Ce.upf
ATOMIC_POSITIONS crystal
Pd 0.1651 0.8283 0.3368
Pd 0.4915 0.8283 0.6632
Pd 0.3368 0.5085 0.1717
Pd 0.1717 0.3368 0.5085
Pd 0.8283 0.6632 0.4915
Pd 0.8283 0.3368 0.1651
Pd 0.3368 0.1651 0.8283
Pd 0.8349 0.1717 0.6632
Pd 0.6632 0.8349 0.1717
Pd 0.1717 0.6632 0.8349
Pd 0.5085 0.1717 0.3368
Pd 0.6632 0.4915 0.8283
P 0.5000 0.0000 0.0000
P 0.0000 0.0000 0.5000
P 0.5000 0.5000 0.5000
P 0.0000 0.5000 0.0000
Ce 0.0000 0.0000 0.0000
CELL_PARAMETERS angstrom
7.2491 0.0000 0.0000
-2.4164 6.8345 0.0000
-2.4164 -3.4173 5.9189

(8)
! BaTaGaPd2, relaxed, DFT PBE; values from VASP
! * ΔH_f (0 K): 376 meV per atom
! * DFT total energy: -5.0613 eV/atom
! * energy above the lowest structure with this stoichiometry: 0 meV/atom
&SYSTEM
  ibrav = 0, nat = 5, ntyp = 4
/
ATOMIC_SPECIES
Ba 137.33 Ba.upf
Ga 69.72 Ga.upf
Ta 180.95 Ta.upf
Pd 106.42 Pd.upf
ATOMIC_POSITIONS crystal
Ba 0.5000 0.5000 0.5000
Ga 0.0000 0.0000 0.0000
Ta 0.0000 0.5000 0.0000
Pd 0.5000 0.0000 0.0000
Pd 0.0000 0.0000 0.5000
CELL_PARAMETERS angstrom
-2.3250 -0.2481 4.3148
0.1350 -4.9977 -0.2146
4.3199 0.0167 2.3287

(9)
! La3NiRu2, relaxed, DFT PBE; values from VASP
! * ΔH_f (0 K): -159 meV per atom
! * DFT total energy: -6.6779 eV/atom
&SYSTEM
  ibrav = 0, nat = 6, ntyp = 3
/
ATOMIC_SPECIES
La 138.91 La.upf
Ru 101.07 Ru.upf
Ni 58.69 Ni.upf
ATOMIC_POSITIONS crystal
La 0.5000 0.5000 0.0000
La 0.3255 0.8255 0.5000
La 0.6745 0.1745 0.5000
Ru 0.8696 0.3696 0.5000
Ru 0.1304 0.6304 0.5000
Ni 0.0000 0.0000 0.0000
CELL_PARAMETERS angstrom
0.7880 -0.9859 8.6516
-1.6641 4.1015 7.5400
-2.2281 -2.6395 -8.0320

(10)
! CeTl2HCl6, relaxed, DFT PBE; values from VASP
! * DFT total energy: -3.8408 eV/atom
&SYSTEM
  ibrav = 0, nat = 20, ntyp = 4
/
ATOMIC_SPECIES
Cl 35.45 Cl.upf
H 1.01 H.upf
Ce 140.12 Ce.upf
Tl 204.38 Tl.upf
ATOMIC_POSITIONS crystal
Cl 0.4311 0.2322 0.1364
Cl 0.2209 0.2196 0.8663
Cl 0.2791 0.7196 0.6337
Cl 0.9311 0.2678 0.6364
Cl 0.7791 0.7804 0.1337
Cl 0.6385 0.7870 0.4979
Cl 0.5689 0.7678 0.8636
Cl 0.0689 0.7322 0.3636
Cl 0.7209 0.2804 0.3663
Cl 0.8615 0.2870 0.0021
Cl 0.1385 0.7130 0.9979
Cl 0.3615 0.2130 0.5021
H 0.5000 0.0000 0.5000
H 0.0000 0.5000 0.0000
Ce 0.0000 0.5000 0.5000
Ce 0.5000 0.0000 0.0000
Tl 0.5458 0.8144 0.2854
Tl 0.9542 0.3144 0.2146
Tl 0.0458 0.6856 0.7854
Tl 0.4542 0.1856 0.7146
CELL_PARAMETERS angstrom
6.2817 0.0000 -0.9149
0.0000 6.0321 0.0000
-1.9353 0.0000 16.0526

(11)
! Na2TmGaGe2, relaxed, DFT PBE; values from VASP
! * ΔH_f (0 K): -385 meV per atom
! * DFT total energy: -3.6133 eV/atom
&SYSTEM
  ibrav = 0, nat = 12, ntyp = 4
/
ATOMIC_SPECIES
Na 22.99 Na.upf
Ge 72.64 Ge.upf
Tm 168.93 Tm.upf
Ga 69.72 Ga.upf
ATOMIC_POSITIONS crystal
Na 0.0000 0.3463 0.1612
Na 0.5000 0.0321 0.0819
Na 0.5000 0.5321 0.9181
Na 0.0000 0.8463 0.8388
Ge 0.0000 0.7537 0.1785
Ge 0.0000 0.2537 0.8215
Ge 0.5000 0.2733 0.3883
Ge 0.5000 0.7733 0.6117
Tm 0.0000 0.9885 0.4472
Tm 0.0000 0.4885 0.5528
Ga 0.5000 0.6517 0.3246
Ga 0.5000 0.1517 0.6754
CELL_PARAMETERS angstrom
-0.6701 -3.9769 -1.3222
6.4729 -0.0684 -3.0751
3.5119 -3.0723 7.4606

(12)
! TeRu2Br, relaxed, DFT PBE; values from VASP
! * formation energy without anion corrections: 37.0 kJ/mol of atoms
! * DFT total energy: -5.4581 eV/atom
! * energy above the lowest structure with this stoichiometry: 7 meV/atom
&SYSTEM
  ibrav = 0, nat = 4, ntyp = 3
/
ATOMIC_SPECIES
Te 127.60 Te.upf
Br 79.90 Br.upf
Ru 101.07 Ru.upf
ATOMIC_POSITIONS crystal
Te 0.0000 0.0000 0.3963
Br 0.5000 0.5000 0.8636
Ru 0.0000 0.0000 0.0139
Ru 0.5000 0.5000 0.2262
CELL_PARAMETERS angstrom
-2.4274 -0.5395 -1.9991
-0.7237 -3.3619 1.7859
-4.1787 3.1440 4.2254